#A
A relaxed structure of Tb3Pr4Dy4, computed with PBE-GGA.

Cell and atoms, written as POSCAR:
```
Tb3Pr4Dy4
1.0
3.6149 0.0000 0.0000
-0.0002 5.0931 0.0000
-1.7686 -2.5421 19.8713
Tb Pr Dy
3 4 4
Cartesian
0.0000 0.0000 0.0000
0.0261 0.0066 14.4594
1.8200 2.5444 5.4119
0.0164 0.0026 7.2403
0.0359 0.0095 18.0447
1.8102 2.5415 1.8266
1.8297 2.5484 12.6310
0.0034 -0.0069 3.6440
0.0228 0.0020 10.8206
1.8233 2.5491 9.0507
1.8427 2.5579 16.2273
```

***

#B
A relaxed structure of Tb3Pr4Dy4, computed with PBE-GGA.

Cell and atoms, written as POSCAR:
```
Tb3Pr4Dy4
1.0
10.7519 0.0000 0.0000
0.0000 2.8642 6.0527
0.0000 -2.8642 6.0527
Tb Pr Dy
3 4 4
Cartesian
0.0000 0.0000 0.0000
3.0960 0.0000 1.8990
7.6559 0.0000 1.8990
0.0000 0.0000 8.5518
2.2343 0.0000 6.0670
5.3760 0.0000 7.5963
8.5177 0.0000 6.0670
0.0000 0.0000 3.6098
3.2638 0.0000 10.2904
5.3760 0.0000 4.2924
7.4881 0.0000 10.2904
```

***

Stability ranking, top and bottom: #A is the most stable and #B is the least stable.

***

#A
A relaxed structure of Tb6Pr4Dy, computed with PBE-GGA.

Cell and atoms, written as POSCAR:
```
Tb6Pr4Dy
1.0
-3.8546 3.8546 6.6445
3.8546 -3.8546 6.6445
3.8546 3.8546 -6.6445
Tb Pr Dy
6 4 1
Cartesian
3.8546 0.0000 0.0000
2.0277 -2.0277 4.1959
1.8269 1.8269 2.4485
0.0000 3.8546 0.0000
-2.0277 2.0277 4.1959
2.0277 2.0277 9.0930
2.4946 2.4946 -1.0299
1.3600 -1.3600 7.6743
1.3600 1.3600 5.6146
-1.3600 1.3600 7.6743
0.0000 0.0000 0.0000
```

***

#B
A relaxed structure of Tb6Pr4Dy, computed with PBE-GGA.

Cell and atoms, written as POSCAR:
```
Tb6Pr4Dy
1.0
-3.3622 3.3622 8.5077
3.3622 -3.3622 8.5077
3.3622 3.3622 -8.5077
Tb Pr Dy
6 4 1
Cartesian
3.3622 0.0000 0.0000
2.1738 -2.1738 6.4254
1.1884 1.1884 2.0822
0.0000 3.3622 0.0000
-2.1738 2.1738 6.4254
2.1738 2.1738 10.5899
2.0810 2.0810 -2.9971
1.2812 -1.2812 11.5048
1.2812 1.2812 5.5105
-1.2812 1.2812 11.5048
0.0000 0.0000 8.5077
```

***

Stability ranking, top and bottom: #B is the most stable and #A is the least stable.